Material: NaSe2NO
Method: DFT, GGA-PBEsol
State: relaxed

Properties
D(E_F) in states/eV per cell: 2.4
Raw formation energy in eV per atom: 0.839

Cell lengths 4.299, 4.299, 4.470 Å; angles 90.00, 90.00, 90.00 degrees
Space group P4/mmm (No. 123)
One atom of each set of equivalent atoms:
1 Na 0.000 0.000 0.000 [1 per cell]
2 Se 0.000 0.500 0.500 [2 per cell]
3 N 0.500 0.500 0.000 [1 per cell]
4 O 0.500 0.500 0.500 [1 per cell]